A relaxed Ti2SnPd6 crystal. Source: Alexandria, functional GGA-PBE.

Results
ΔE_f = -0.41 eV per atom

a b c (Å): 7.9625 7.9625 2.9593
angles (deg): 100.37 100.37 55.50
Fractional coordinates of all 9 atoms:
Ti 0.1648 0.1648 0.1619
Ti 0.8352 0.8352 0.8381
Sn 0.5000 0.5000 0.5000
Pd 0.1335 0.5282 0.3319
Pd 0.1853 0.8147 0.0000
Pd 0.4718 0.8665 0.6681
Pd 0.5282 0.1335 0.3319
Pd 0.8147 0.1853 0.0000
Pd 0.8665 0.4718 0.6681